[1]
Density functional theory data (PBE) for a geometry-optimized Rb3Ti3P5O20 structure.

POSCAR file:
```
Rb3Ti3P5O20
1.0
18.622 0.000 0.000
0.000 6.375 0.000
0.000 0.000 15.036
Rb Ti P O
12 12 20 80
Direct
0.149 0.134 0.000 Rb
0.153 0.133 0.445 Rb
0.176 0.157 0.721 Rb
0.324 0.157 0.221 Rb
0.347 0.133 0.945 Rb
0.351 0.134 0.500 Rb
0.649 0.866 0.000 Rb
0.653 0.867 0.445 Rb
0.676 0.843 0.721 Rb
0.824 0.843 0.221 Rb
0.847 0.867 0.945 Rb
0.851 0.866 0.500 Rb
0.045 0.745 0.846 Ti
0.051 0.745 0.609 Ti
0.147 0.752 0.219 Ti
0.353 0.752 0.719 Ti
0.449 0.745 0.109 Ti
0.455 0.745 0.346 Ti
0.545 0.255 0.846 Ti
0.551 0.255 0.609 Ti
0.647 0.248 0.219 Ti
0.853 0.248 0.719 Ti
0.949 0.255 0.109 Ti
0.955 0.255 0.346 Ti
0.001 0.246 0.578 P
0.009 0.754 0.375 P
0.101 0.253 0.222 P
0.223 0.642 0.872 P
0.226 0.644 0.564 P
0.274 0.644 0.064 P
0.277 0.642 0.372 P
0.399 0.253 0.722 P
0.491 0.754 0.875 P
0.499 0.246 0.078 P
0.501 0.754 0.578 P
0.509 0.246 0.375 P
0.601 0.747 0.222 P
0.723 0.358 0.872 P
0.726 0.356 0.564 P
0.774 0.356 0.064 P
0.777 0.358 0.372 P
0.899 0.747 0.722 P
0.991 0.246 0.875 P
0.999 0.754 0.078 P
0.018 0.758 0.979 O
0.028 0.758 0.475 O
0.036 0.442 0.853 O
0.040 0.058 0.851 O
0.046 0.442 0.601 O
0.050 0.057 0.602 O
0.054 0.250 0.138 O
0.058 0.249 0.309 O
0.068 0.760 0.135 O
0.069 0.749 0.728 O
0.080 0.761 0.320 O
0.148 0.749 0.879 O
0.149 0.452 0.221 O
0.154 0.064 0.220 O
0.155 0.753 0.586 O
0.214 0.758 0.116 O
0.222 0.407 0.870 O
0.227 0.409 0.568 O
0.233 0.755 0.299 O
0.237 0.728 0.462 O
0.263 0.728 0.962 O
0.267 0.755 0.799 O
0.273 0.409 0.068 O
0.278 0.407 0.370 O
0.286 0.758 0.616 O
0.345 0.753 0.086 O
0.346 0.064 0.720 O
0.351 0.452 0.721 O
0.352 0.749 0.379 O
0.420 0.761 0.820 O
0.431 0.749 0.228 O
0.432 0.760 0.635 O
0.442 0.249 0.809 O
0.446 0.250 0.638 O
0.450 0.057 0.102 O
0.454 0.442 0.101 O
0.460 0.058 0.351 O
0.464 0.442 0.353 O
0.472 0.758 0.975 O
0.482 0.758 0.479 O
0.518 0.242 0.979 O
0.528 0.242 0.475 O
0.536 0.558 0.853 O
0.540 0.942 0.851 O
0.546 0.558 0.601 O
0.550 0.943 0.602 O
0.554 0.750 0.138 O
0.558 0.751 0.309 O
0.568 0.240 0.135 O
0.569 0.251 0.728 O
0.580 0.239 0.320 O
0.648 0.251 0.879 O
0.649 0.548 0.221 O
0.654 0.936 0.220 O
0.655 0.247 0.586 O
0.714 0.242 0.116 O
0.722 0.593 0.870 O
0.727 0.591 0.568 O
0.733 0.245 0.299 O
0.737 0.272 0.462 O
0.763 0.272 0.962 O
0.767 0.245 0.799 O
0.773 0.591 0.068 O
0.778 0.593 0.370 O
0.786 0.242 0.616 O
0.845 0.247 0.086 O
0.846 0.936 0.720 O
0.851 0.548 0.721 O
0.852 0.251 0.379 O
0.920 0.239 0.820 O
0.931 0.251 0.228 O
0.932 0.240 0.635 O
0.942 0.751 0.809 O
0.946 0.750 0.638 O
0.950 0.943 0.102 O
0.954 0.558 0.101 O
0.960 0.942 0.351 O
0.964 0.558 0.353 O
0.972 0.242 0.975 O
0.982 0.242 0.479 O
```

Computed properties:
- Uncorrected formation energy: -58.39 kcal/mol of atoms
- Volume: 14.395 Å³/atom
- Magnetization: 0.00 μB/atom

=====

[2]
Density functional theory data (PBE) for a geometry-optimized SrZrCo2 structure.

POSCAR file:
```
SrZrCo2
1.0
4.786 0.000 0.000
0.000 4.786 0.000
0.000 0.000 3.276
Sr Zr Co
1 1 2
Direct
0.000 0.000 0.000 Sr
0.500 0.500 0.000 Zr
0.000 0.500 0.500 Co
0.500 0.000 0.500 Co
```

Computed properties:
- DFT formation energy: 0.36 eV per atom
- Relative energy among the computed polymorphs: 0.2966 eV per atom
- Volume: 18.759 Å³/atom
- Magnetization: 0.25 μB/atom

=====

[3]
Density functional theory data (PBE) for a geometry-optimized KAlB2O structure.

POSCAR file:
```
KAlB2O
1.0
4.080 0.000 0.000
0.000 4.080 0.000
0.000 0.000 8.159
K Al B O
1 1 2 1
Direct
0.000 0.000 0.000 K
0.000 0.000 0.500 Al
0.000 0.500 0.500 B
0.500 0.000 0.500 B
0.500 0.500 0.000 O
```

Computed properties:
- Uncorrected formation energy: 26.94 kcal/mol of atoms
- Volume: 27.161 Å³/atom
- Magnetization: 0.25 μB/atom

=====

[4]
Density functional theory data (PBE) for a geometry-optimized CrInTe2I structure.

POSCAR file:
```
CrInTe2I
1.0
5.265 0.000 0.000
0.000 5.265 0.000
0.000 0.000 5.857
Cr In Te I
1 1 2 1
Direct
0.000 0.000 0.000 Cr
0.500 0.500 0.500 In
0.000 0.500 0.000 Te
0.500 0.000 0.000 Te
0.000 0.000 0.500 I
```

Computed properties:
- Uncorrected formation energy: 0.91 kcal/mol of atoms
- Relative energy among the computed polymorphs: 0.0000 eV per atom
- Volume: 32.472 Å³/atom
- Magnetization: 0.51 μB/atom

=====

[5]
Density functional theory data (PBE) for a geometry-optimized TbTmLuHg structure.

POSCAR file:
```
TbTmLuHg
1.0
0.000 3.787 3.787
3.787 0.000 3.787
3.787 3.787 0.000
Tb Tm Lu Hg
1 1 1 1
Direct
0.000 0.000 0.000 Tb
0.500 0.500 0.500 Tm
0.250 0.250 0.250 Lu
0.750 0.750 0.750 Hg
```

Computed properties:
- DFT formation energy: -0.05 eV per atom
- Volume: 27.151 Å³/atom
- Magnetization: 0.08 μB/atom

=====

[6]
Density functional theory data (PBE) for a geometry-optimized Ce2Ho8Tm3 structure.

POSCAR file:
```
Ce2Ho8Tm3
1.0
7.308 -4.531 0.000
7.308 4.531 0.000
-2.116 0.000 6.384
Ce Ho Tm
2 8 3
Direct
0.216 0.216 0.412 Ce
0.784 0.784 0.588 Ce
0.190 0.190 0.886 Ho
0.198 0.565 0.823 Ho
0.418 0.418 0.274 Ho
0.435 0.802 0.177 Ho
0.565 0.198 0.823 Ho
0.582 0.582 0.726 Ho
0.802 0.435 0.177 Ho
0.810 0.810 0.114 Ho
0.000 0.000 0.000 Tm
0.172 0.828 0.500 Tm
0.828 0.172 0.500 Tm
```

Computed properties:
- DFT formation energy: 0.27 eV per atom
- Volume: 32.521 Å³/atom
- Magnetization: 0.17 μB/atom

=====

[7]
Density functional theory data (PBE) for a geometry-optimized Mg6Bi2H structure.

POSCAR file:
```
Mg6Bi2H
1.0
-3.239 3.239 4.722
3.239 -3.239 4.722
3.239 3.239 -4.722
Mg Bi H
6 2 1
Direct
0.246 0.246 0.492 Mg
0.246 0.754 0.000 Mg
0.248 0.248 0.000 Mg
0.752 0.752 0.000 Mg
0.754 0.246 0.000 Mg
0.754 0.754 0.508 Mg
0.250 0.750 0.500 Bi
0.750 0.250 0.500 Bi
0.500 0.500 0.000 H
```

Computed properties:
- Volume: 22.022 Å³/atom
- Magnetization: 0.00 μB/atom
- Total DFT energy (no corrections): -21.3 eV for the cell shown

=====

[8]
Density functional theory data (PBE) for a geometry-optimized CaZn4Pd2 structure.

POSCAR file:
```
CaZn4Pd2
1.0
-3.758 3.758 2.851
3.758 -3.758 2.851
3.758 3.758 -2.851
Ca Zn Pd
1 4 2
Direct
0.000 0.000 0.000 Ca
0.265 0.500 0.765 Zn
0.500 0.265 0.765 Zn
0.500 0.735 0.235 Zn
0.735 0.500 0.235 Zn
0.250 0.750 0.500 Pd
0.750 0.250 0.500 Pd
```

Computed properties:
- DFT formation energy: -0.08 eV per atom
- Relative energy among the computed polymorphs: 0.4120 eV per atom
- Volume: 23.007 Å³/atom
- Magnetization: 0.00 μB/atom